Here is a geometry-optimized LiErMgRh structure from Alexandria. Energies are from PBE-GGA.

Cell: 6.6878 6.6878 6.6878 Å, 90.00 90.00 90.00°
Space group F-43m (No. 216)
Unique sites:
1 Li 0.0000 0.0000 0.0000
2 Er 0.2500 0.2500 0.7500
3 Mg 0.2500 0.2500 0.2500
4 Rh 0.0000 0.0000 0.5000

Output
As for the formation energy from the elements: -0.4490 eV per atom. The calculation puts the calculated total energy at -4.30 eV per atom.